Entry 1:
# PBE-GGA CeCoGe, relaxed
data_CeCoGe
_chemical_formula_sum 'Ce6 Co6 Ge6'
_symmetry_space_group_name_H-M 'P m n 21'
_symmetry_Int_Tables_number 31
_symmetry_space_group_name_Hall 'P 2ac -2'
_cell_length_a 4.177
_cell_length_b 4.382
_cell_length_c 18.346
_cell_angle_alpha 90.00
_cell_angle_beta 90.00
_cell_angle_gamma 90.00
loop_
_atom_site_label
_atom_site_fract_x
_atom_site_fract_y
_atom_site_fract_z
Ce1 0.000 0.009 0.000
Ce2 0.000 0.555 0.853
Ce3 0.000 0.635 0.209
Co1 0.000 0.020 0.783
Co2 0.000 0.317 0.109
Co3 0.000 0.449 0.434
Ge1 0.000 0.447 0.563
Ge2 0.000 0.920 0.653
Ge3 0.000 0.948 0.364
# - Density of states at the Fermi level: 0.8531 states/eV/atom
# - Energy of formation: -0.533 eV per atom

Entry 2:
# PBE-GGA Sr3TaBe2O8, relaxed
data_Sr3TaBe2O8
_chemical_formula_sum 'Sr3 Ta1 Be2 O8'
_symmetry_space_group_name_H-M 'P -3 m 1'
_symmetry_Int_Tables_number 164
_symmetry_space_group_name_Hall '-P 3 2"'
_cell_length_a 5.4429
_cell_length_b 5.4429
_cell_length_c 6.9770
_cell_angle_alpha 90.00
_cell_angle_beta 90.00
_cell_angle_gamma 120.00
loop_
_atom_site_label
_atom_site_fract_x
_atom_site_fract_y
_atom_site_fract_z
Sr1 0.0000 0.0000 0.0000
Sr2 0.3333 0.6667 0.6720
Ta1 0.0000 0.0000 0.5000
Be1 0.3333 0.6667 0.2375
O1 0.1706 0.3411 0.3307
O2 0.3333 0.6667 0.0113
# - Total energy: -102.06 eV/f.u.
# - Density of states at the Fermi level: 0.2254 states/eV/atom

Entry 3:
# PBE-GGA LaNdHg2, relaxed
data_LaNdHg2
_chemical_formula_sum 'La4 Nd4 Hg8'
_symmetry_space_group_name_H-M 'F m -3 m'
_symmetry_Int_Tables_number 225
_symmetry_space_group_name_Hall '-F 4 2 3'
_cell_length_a 7.750
_cell_length_b 7.750
_cell_length_c 7.750
_cell_angle_alpha 90.00
_cell_angle_beta 90.00
_cell_angle_gamma 90.00
loop_
_atom_site_label
_atom_site_fract_x
_atom_site_fract_y
_atom_site_fract_z
La1 0.000 0.000 0.000
Nd1 0.000 0.000 0.500
Hg1 0.250 0.250 0.250
# - Density of states at the Fermi level: 1.0534 states/eV/atom
# - Energy of formation: -0.487 eV per atom